Density functional theory data (PBE) for Li2Ho3Pd5 after structural relaxation.

Summary:
SG: No. 127
Formation energy from the elements (eV/f.u.): -7.54
Theoretical density (g cm⁻³): 9.7

Cell lengths 3.669, 9.877, 9.877 Å; angles 90.00, 90.00, 90.00 degrees
Fractional positions:
Li  0.000  0.120  0.620
Li  0.000  0.880  0.380
Li  0.000  0.380  0.120
Li  0.000  0.620  0.880
Ho  0.000  0.325  0.825
Ho  0.000  0.675  0.175
Ho  0.000  0.175  0.325
Ho  0.000  0.825  0.675
Ho  0.000  0.000  0.000
Ho  0.000  0.500  0.500
Pd  0.500  0.214  0.071
Pd  0.500  0.786  0.929
Pd  0.500  0.929  0.214
Pd  0.500  0.071  0.786
Pd  0.500  0.286  0.571
Pd  0.500  0.714  0.429
Pd  0.500  0.571  0.714
Pd  0.500  0.429  0.286
Pd  0.500  0.000  0.500
Pd  0.500  0.500  0.000

---

Density functional theory data (PBE) for LiHoPd14 after structural relaxation.

Summary:
SG: No. 123
Formation energy from the elements (eV/f.u.): -4.13
Theoretical density (g cm⁻³): 10.9

Cell lengths 5.633, 5.633, 7.960 Å; angles 90.00, 90.00, 90.00 degrees
Fractional positions:
Li  0.375  0.375  0.500
Ho  0.875  0.875  0.500
Pd  0.875  0.875  0.000
Pd  0.375  0.375  0.000
Pd  0.875  0.375  0.500
Pd  0.875  0.375  0.000
Pd  0.375  0.875  0.500
Pd  0.375  0.875  0.000
Pd  0.622  0.128  0.248
Pd  0.622  0.128  0.752
Pd  0.128  0.622  0.248
Pd  0.128  0.622  0.752
Pd  0.622  0.622  0.248
Pd  0.622  0.622  0.752
Pd  0.128  0.128  0.248
Pd  0.128  0.128  0.752

---

Density functional theory data (PBE) for Li2Ho2Pd3 after structural relaxation.

Summary:
SG: No. 12
Formation energy from the elements (eV/f.u.): -4.48
Theoretical density (g cm⁻³): 7.8

Cell lengths 4.814, 4.811, 7.535 Å; angles 90.04, 108.67, 119.96 degrees
Fractional positions:
Li  0.265  0.133  0.397
Li  0.735  0.867  0.603
Ho  0.779  0.390  0.168
Ho  0.221  0.610  0.832
Pd  0.000  0.000  0.000
Pd  0.510  0.255  0.765
Pd  0.490  0.745  0.235